# 1
Below is an optimized crystal structure of RbTa3Pd, with properties calculated at the PBE-GGA level.

Summary:
* space group: Pm-3m (221)
* relative energy among the computed polymorphs: 0 meV/atom
* energy of formation from the pure elements: 1.77 eV/atom

Unit cell a=5.033 b=5.033 c=5.033 alpha=90.00 beta=90.00 gamma=90.00
Positions (direct):
Rb: 0.000 0.000 0.000
Ta: 0.000 0.500 0.500
Ta: 0.500 0.000 0.500
Ta: 0.500 0.500 0.000
Pd: 0.500 0.500 0.500

=====

# 2
Below is an optimized crystal structure of RbTa3Pd, with properties calculated at the PBE-GGA level.

Summary:
* space group: Pm-3m (221)
* relative energy among the computed polymorphs: 1361 meV/atom
* energy of formation from the pure elements: 3.14 eV/atom

Unit cell a=4.747 b=4.747 c=4.747 alpha=90.00 beta=90.00 gamma=90.00
Positions (direct):
Rb: 0.000 0.000 0.000
Ta: 0.000 0.000 0.500
Ta: 0.000 0.500 0.000
Ta: 0.500 0.000 0.000
Pd: 0.500 0.500 0.500

=====

# 3
Below is an optimized crystal structure of Rb2TaPd, with properties calculated at the PBE-GGA level.

Summary:
* space group: I-42d (122)
* energy of formation from the pure elements: 1.13 eV/atom

Unit cell a=12.795 b=12.795 c=5.052 alpha=90.00 beta=90.00 gamma=90.00
Positions (direct):
Rb: 0.081 0.750 0.125
Rb: 0.250 0.081 0.875
Rb: 0.250 0.419 0.375
Rb: 0.419 0.750 0.625
Rb: 0.581 0.250 0.625
Rb: 0.750 0.581 0.375
Rb: 0.750 0.919 0.875
Rb: 0.919 0.250 0.125
Ta: 0.000 0.000 0.500
Ta: 0.000 0.500 0.750
Ta: 0.500 0.000 0.250
Ta: 0.500 0.500 0.000
Pd: 0.000 0.000 0.000
Pd: 0.000 0.500 0.250
Pd: 0.500 0.000 0.750
Pd: 0.500 0.500 0.500

=====

# 4
Below is an optimized crystal structure of Rb2Ta2Pd, with properties calculated at the PBE-GGA level.

Summary:
* space group: P4/mbm (127)
* relative energy among the computed polymorphs: 54 meV/atom
* energy of formation from the pure elements: 1.68 eV/atom

Unit cell a=10.768 b=10.768 c=3.043 alpha=90.00 beta=90.00 gamma=90.00
Positions (direct):
Rb: 0.212 0.288 0.000
Rb: 0.288 0.788 0.000
Rb: 0.712 0.212 0.000
Rb: 0.788 0.712 0.000
Ta: 0.076 0.576 0.500
Ta: 0.424 0.076 0.500
Ta: 0.576 0.924 0.500
Ta: 0.924 0.424 0.500
Pd: 0.000 0.000 0.500
Pd: 0.500 0.500 0.500

=====

# 5
Below is an optimized crystal structure of RbTaTePd2, with properties calculated at the PBE-GGA level.

Summary:
* ΔE_f (raw): 0.981 eV per atom
* space group: P4/mmm (123)

Unit cell a=4.938 b=4.938 c=6.327 alpha=90.00 beta=90.00 gamma=90.00
Positions (direct):
Rb: 0.000 0.000 0.000
Ta: 0.000 0.000 0.500
Te: 0.500 0.500 0.000
Pd: 0.000 0.500 0.500
Pd: 0.500 0.000 0.500

=====

# 6
Below is an optimized crystal structure of Rb3TaTe6Pd2, with properties calculated at the PBE-GGA level.

Summary:
* ΔE_f (raw): -0.461 eV per atom
* space group: C2/m (12)

Unit cell a=7.411 b=7.411 c=8.537 alpha=98.28 beta=98.28 gamma=120.09
Positions (direct):
Rb: 0.000 0.000 0.000
Rb: 0.333 0.667 0.000
Rb: 0.667 0.333 0.000
Ta: 0.500 0.500 0.500
Te: 0.109 0.443 0.331
Te: 0.223 0.223 0.669
Te: 0.443 0.109 0.331
Te: 0.557 0.891 0.669
Te: 0.777 0.777 0.331
Te: 0.891 0.557 0.669
Pd: 0.167 0.833 0.500
Pd: 0.833 0.167 0.500

=====

# 7
Below is an optimized crystal structure of RbTaTi2Pd, with properties calculated at the PBE-GGA level.

Summary:
* space group: P4/mmm (123)
* energy of formation from the pure elements: 2.18 eV/atom

Unit cell a=4.647 b=4.647 c=4.836 alpha=90.00 beta=90.00 gamma=90.00
Positions (direct):
Rb: 0.000 0.000 0.000
Ta: 0.500 0.500 0.500
Ti: 0.000 0.500 0.000
Ti: 0.500 0.000 0.000
Pd: 0.000 0.000 0.500

=====

# 8
Below is an optimized crystal structure of RbZrTaPd2, with properties calculated at the PBE-GGA level.

Summary:
* space group: P4/mmm (123)
* energy of formation from the pure elements: 1.69 eV/atom

Unit cell a=4.964 b=4.964 c=5.388 alpha=90.00 beta=90.00 gamma=90.00
Positions (direct):
Rb: 0.000 0.000 0.000
Zr: 0.000 0.000 0.500
Ta: 0.500 0.500 0.000
Pd: 0.000 0.500 0.500
Pd: 0.500 0.000 0.500

=====

# 9
Below is an optimized crystal structure of RbTcPd, with properties calculated at the PBE-GGA level.

Summary:
* space group: P6_3/mmc (194)
* relative energy among the computed polymorphs: 1457 meV/atom
* energy of formation from the pure elements: 1.73 eV/atom

Unit cell a=6.156 b=6.156 c=9.730 alpha=90.00 beta=90.00 gamma=120.00
Positions (direct):
Rb: 0.333 0.667 0.250
Rb: 0.667 0.333 0.750
Tc: 0.000 0.000 0.250
Tc: 0.000 0.000 0.750
Pd: 0.000 0.000 0.000
Pd: 0.000 0.000 0.500

=====

# 10
Below is an optimized crystal structure of RbTc3Pd, with properties calculated at the PBE-GGA level.

Summary:
* space group: Pm-3m (221)
* relative energy among the computed polymorphs: 0 meV/atom
* energy of formation from the pure elements: 2.05 eV/atom

Unit cell a=5.050 b=5.050 c=5.050 alpha=90.00 beta=90.00 gamma=90.00
Positions (direct):
Rb: 0.000 0.000 0.000
Tc: 0.000 0.500 0.500
Tc: 0.500 0.000 0.500
Tc: 0.500 0.500 0.000
Pd: 0.500 0.500 0.500

=====

# 11
Below is an optimized crystal structure of RbTcPd, with properties calculated at the PBE-GGA level.

Summary:
* space group: P-1 (2)
* relative energy among the computed polymorphs: 139 meV/atom
* energy of formation from the pure elements: 0.41 eV/atom

Unit cell a=3.041 b=3.671 c=13.791 alpha=91.11 beta=90.52 gamma=90.00
Positions (direct):
Rb: 0.210 0.274 0.330
Rb: 0.790 0.726 0.670
Tc: 0.175 0.253 0.042
Tc: 0.825 0.747 0.958
Pd: 0.288 0.239 0.845
Pd: 0.712 0.761 0.155

=====

# 12
Below is an optimized crystal structure of RbTcPd, with properties calculated at the PBE-GGA level.

Summary:
* space group: P6_3/mmc (194)
* relative energy among the computed polymorphs: 819 meV/atom
* energy of formation from the pure elements: 1.09 eV/atom

Unit cell a=4.340 b=4.340 c=11.318 alpha=90.00 beta=90.00 gamma=120.00
Positions (direct):
Rb: 0.000 0.000 0.000
Rb: 0.000 0.000 0.500
Tc: 0.333 0.667 0.250
Tc: 0.667 0.333 0.750
Pd: 0.333 0.667 0.750
Pd: 0.667 0.333 0.250

=====

# 13
Below is an optimized crystal structure of RbTcPd, with properties calculated at the PBE-GGA level.

Summary:
* space group: P1 (1)
* relative energy among the computed polymorphs: 1 meV/atom
* energy of formation from the pure elements: 0.27 eV/atom

Unit cell a=4.243 b=4.245 c=12.259 alpha=98.98 beta=90.05 gamma=119.99
Positions (direct):
Rb: 0.000 0.000 0.000
Rb: 0.182 0.362 0.606
Tc: 0.091 0.181 0.303
Tc: 0.425 0.848 0.303
Pd: 0.723 0.445 0.188
Pd: 0.793 0.584 0.418

=====

# 14
Below is an optimized crystal structure of RbTcPd, with properties calculated at the PBE-GGA level.

Summary:
* space group: F-43m (216)
* relative energy among the computed polymorphs: 1227 meV/atom
* energy of formation from the pure elements: 1.50 eV/atom

Unit cell a=6.951 b=6.951 c=6.951 alpha=90.00 beta=90.00 gamma=90.00
Positions (direct):
Rb: 0.000 0.000 0.000
Rb: 0.000 0.500 0.500
Rb: 0.500 0.000 0.500
Rb: 0.500 0.500 0.000
Tc: 0.000 0.000 0.500
Tc: 0.000 0.500 0.000
Tc: 0.500 0.000 0.000
Tc: 0.500 0.500 0.500
Pd: 0.250 0.250 0.750
Pd: 0.250 0.750 0.250
Pd: 0.750 0.250 0.250
Pd: 0.750 0.750 0.750

=====

# 15
Below is an optimized crystal structure of RbTcPd2, with properties calculated at the PBE-GGA level.

Summary:
* space group: Fm-3m (225)
* relative energy among the computed polymorphs: 23 meV/atom
* energy of formation from the pure elements: 0.98 eV/atom

Unit cell a=6.906 b=6.906 c=6.906 alpha=90.00 beta=90.00 gamma=90.00
Positions (direct):
Rb: 0.000 0.000 0.000
Rb: 0.000 0.500 0.500
Rb: 0.500 0.000 0.500
Rb: 0.500 0.500 0.000
Tc: 0.000 0.000 0.500
Tc: 0.000 0.500 0.000
Tc: 0.500 0.000 0.000
Tc: 0.500 0.500 0.500
Pd: 0.250 0.250 0.250
Pd: 0.250 0.250 0.750
Pd: 0.250 0.750 0.250
Pd: 0.250 0.750 0.750
Pd: 0.750 0.250 0.250
Pd: 0.750 0.250 0.750
Pd: 0.750 0.750 0.250
Pd: 0.750 0.750 0.750

=====

# 16
Below is an optimized crystal structure of RbTcPd, with properties calculated at the PBE-GGA level.

Summary:
* space group: C2/m (12)
* relative energy among the computed polymorphs: 342 meV/atom
* energy of formation from the pure elements: 0.61 eV/atom

Unit cell a=11.038 b=4.458 c=6.985 alpha=90.00 beta=94.40 gamma=90.00
Positions (direct):
Rb: 0.130 0.000 0.362
Rb: 0.370 0.500 0.638
Rb: 0.630 0.500 0.362
Rb: 0.870 0.000 0.638
Tc: 0.078 0.500 0.920
Tc: 0.422 0.000 0.080
Tc: 0.578 0.000 0.920
Tc: 0.922 0.500 0.080
Pd: 0.195 0.000 0.903
Pd: 0.305 0.500 0.097
Pd: 0.695 0.500 0.903
Pd: 0.805 0.000 0.097

=====

# 17
Below is an optimized crystal structure of RbTc3Pd, with properties calculated at the PBE-GGA level.

Summary:
* space group: Pm-3m (221)
* relative energy among the computed polymorphs: 1173 meV/atom
* energy of formation from the pure elements: 3.23 eV/atom

Unit cell a=4.607 b=4.607 c=4.607 alpha=90.00 beta=90.00 gamma=90.00
Positions (direct):
Rb: 0.000 0.000 0.000
Tc: 0.000 0.000 0.500
Tc: 0.000 0.500 0.000
Tc: 0.500 0.000 0.000
Pd: 0.500 0.500 0.500

=====

# 18
Below is an optimized crystal structure of RbTcPd, with properties calculated at the PBE-GGA level.

Summary:
* space group: P4/nmm (129)
* relative energy among the computed polymorphs: 275 meV/atom
* energy of formation from the pure elements: 0.55 eV/atom

Unit cell a=3.648 b=3.648 c=12.729 alpha=90.00 beta=90.00 gamma=90.00
Positions (direct):
Rb: 0.250 0.250 0.177
Rb: 0.750 0.750 0.823
Tc: 0.250 0.750 0.500
Tc: 0.750 0.250 0.500
Pd: 0.250 0.250 0.657
Pd: 0.750 0.750 0.343

=====

# 19
Below is an optimized crystal structure of RbTc2Pd, with properties calculated at the PBE-GGA level.

Summary:
* space group: Fm-3m (225)
* relative energy among the computed polymorphs: 386 meV/atom
* energy of formation from the pure elements: 1.77 eV/atom

Unit cell a=6.564 b=6.564 c=6.564 alpha=90.00 beta=90.00 gamma=90.00
Positions (direct):
Rb: 0.000 0.000 0.000
Rb: 0.000 0.500 0.500
Rb: 0.500 0.000 0.500
Rb: 0.500 0.500 0.000
Tc: 0.250 0.250 0.250
Tc: 0.250 0.250 0.750
Tc: 0.250 0.750 0.250
Tc: 0.250 0.750 0.750
Tc: 0.750 0.250 0.250
Tc: 0.750 0.250 0.750
Tc: 0.750 0.750 0.250
Tc: 0.750 0.750 0.750
Pd: 0.000 0.000 0.500
Pd: 0.000 0.500 0.000
Pd: 0.500 0.000 0.000
Pd: 0.500 0.500 0.500

=====

# 20
Below is an optimized crystal structure of RbTcPd, with properties calculated at the PBE-GGA level.

Summary:
* space group: P-6m2 (187)
* relative energy among the computed polymorphs: 820 meV/atom
* energy of formation from the pure elements: 1.09 eV/atom

Unit cell a=4.333 b=4.333 c=5.673 alpha=90.00 beta=90.00 gamma=120.00
Positions (direct):
Rb: 0.000 0.000 0.000
Tc: 0.333 0.667 0.500
Pd: 0.667 0.333 0.500